Record 1
A relaxed YZnGa2Bi crystal, computed with GGA-PBE.

abc: 5.733 5.733 5.834
angles: 90.00 90.00 90.00
Space group P4/mmm (No. 123)
One atom of each set of equivalent atoms:
Y  0.000  0.000  0.000 x1
Zn  0.500  0.500  0.500 x1
Ga  0.000  0.500  0.000 x2
Bi  0.000  0.000  0.500 x1

Calculated values
Density of states at the Fermi level   0.670 states/eV per atom


Record 2
A relaxed ZnGaBi2 crystal, computed with GGA-PBE.

abc: 3.668 3.668 7.516
angles: 90.00 90.00 90.00
Space group P4/mmm (No. 123)
One atom of each set of equivalent atoms:
Zn  0.000  0.000  0.000 x1
Ga  0.000  0.000  0.500 x1
Bi  0.500  0.500  0.238 x2

Calculated values
Density of states at the Fermi level   0.321 states/eV per atom


Let's list ΔE_f in order: 274 56 kJ/mol of formula units.
Let's list total energy in order: -2.9668 -2.8713 eV/atom.